No. 1
Crystalline MnTl2Au at its relaxed geometry, computed with GGA-PBE.

As for the formation energy: 0.213 eV per atom. The density comes out at 11.509 Mg/m³.

It has space group R3m (No. 160, hexagonal axes), with a = 3.5087 Å, b = 3.5087 Å, c = 26.8233 Å, α = 90.00°, β = 90.00° and γ = 120.00°. The asymmetric unit holds Mn at (0.0000, 0.0000, 0.0000), Tl at (0.0000, 0.0000, 0.5172), Tl at (0.0000, 0.0000, 0.7487) and Au at (0.0000, 0.0000, 0.2701).

---

No. 2
Crystalline CrInHg at its relaxed geometry, computed with GGA-PBE.

As for the formation energy: 0.425 eV per atom. The density comes out at 10.048 Mg/m³.

It has space group C2/m (No. 12), with a = 10.033 Å, b = 4.764 Å, c = 7.113 Å, α = 90.00°, β = 134.40° and γ = 90.00°. The asymmetric unit holds Cr at (0.000, 0.194, 0.000), In at (0.170, 0.000, 0.814) and Hg at (0.145, 0.500, 0.469).

---

No. 3
Crystalline KNaCeBr5 at its relaxed geometry, computed with GGA-PBE.

The density comes out at 3.110 Mg/m³. The formation energy from raw total energies comes out at -165.43 kJ/mol of atoms.

It has space group C2/c (No. 15), with a = 9.264 Å, b = 13.719 Å, c = 10.809 Å, α = 90.00°, β = 110.72° and γ = 90.00°. The asymmetric unit holds K at (0.000, 0.137, 0.250), Na at (0.000, 0.187, 0.750), Ce at (0.000, 0.500, 0.000), Br at (0.000, 0.409, 0.250), Br at (0.130, 0.314, 0.614) and Br at (0.182, 0.059, 0.951).

---

No. 4
Crystalline AcBeGe at its relaxed geometry, computed with GGA-PBE.

As for the formation energy: -0.452 eV per atom. The density comes out at 7.466 Mg/m³.

It has space group I4_1md (No. 109), with a = 4.358 Å, b = 4.358 Å, c = 14.457 Å, α = 90.00°, β = 90.00° and γ = 90.00°. The asymmetric unit holds Ac at (0.000, 0.000, 0.000), Be at (0.000, 0.000, 0.417) and Ge at (0.000, 0.000, 0.582).

---

No. 5
Crystalline Ca2TiGaTe at its relaxed geometry, computed with GGA-PBE.

The density comes out at 2.983 Mg/m³. The formation energy from raw total energies comes out at 50.75 kJ/mol of atoms.

It has space group P4/mmm (No. 123), with a = 5.794 Å, b = 5.794 Å, c = 5.395 Å, α = 90.00°, β = 90.00° and γ = 90.00°. The asymmetric unit holds Ca at (0.000, 0.500, 0.000), Ti at (0.000, 0.000, 0.500), Ga at (0.500, 0.500, 0.500) and Te at (0.500, 0.500, 0.000).

---

No. 6
Crystalline Li3ErBi2Se6 at its relaxed geometry, computed with GGA-PBE.

The density comes out at 6.203 Mg/m³. The formation energy from raw total energies comes out at -100.85 kJ/mol of atoms.

It has space group C2/m (No. 12), with a = 7.119 Å, b = 12.360 Å, c = 6.985 Å, α = 90.00°, β = 109.86° and γ = 90.00°. The asymmetric unit holds Li at (0.000, 0.000, 0.000), Li at (0.000, 0.321, 0.000), Er at (0.000, 0.500, 0.500), Bi at (0.000, 0.165, 0.500), Se at (0.239, 0.500, 0.241) and Se at (0.248, 0.338, 0.759).